# 1
Entry from Alexandria: BaHf2NpO8 after structural relaxation (PBE).

a b c (Å): 8.2329 6.6958 7.5675
angles (deg): 90.00 102.20 90.00
With the nearest neighbours (Å) after each atom.
Space group C2/m (No. 12)
Unique sites:
Ba (0.0000, 0.0000, 0.0000) x2  6 O 2.68-2.83
Hf (0.0493, 0.5000, 0.2159) x4  5 O 1.98-2.12
Np (0.0000, 0.0000, 0.5000) x2  6 O 1.94-2.16
O (0.0025, 0.2232, 0.2940) x8  1 Hf 2.01, 1 Np 2.16
O (0.1575, 0.5000, 0.0058) x4  2 Hf 1.98-2.12
O (0.2413, 0.0000, 0.5691) x4  1 Np 1.94, 1 Hf 2.11



# 2
Entry from Alexandria: HfCd2Cu after structural relaxation (PBE).

Values from the calculation:
The value obtained for the calculated formation energy is 0.34 eV/atom.

a b c (Å): 7.6893 7.6893 5.5799
angles (deg): 90.00 90.00 90.00
With the nearest neighbours (Å) after each atom.
Space group I-42d (No. 122)
Unique sites:
Hf (0.0000, 0.0000, 0.0000) x4  2 Cu 2.79, 4 Cd 3.03
Cd (0.2087, 0.2500, 0.6250) x8  2 Cu 2.60, 2 Cd 2.86
Cu (0.0000, 0.0000, 0.5000) x4  4 Cd 2.60, 2 Hf 2.79



| no. | total energy (hartree per atom) |
| --- | --- |
| 1 | -0.34139 |
| 2 | -0.13325 |